(1)
Compound: TbNdTlAu
Source: Alexandria via LeMat-Bulk
Functional: PBE
Structure: optimized geometry

Values from the calculation:
Its offset from the most stable computed form is 0.0 kJ/mol of atoms. The calculation puts the theoretical density at 10.95 g/cm3. The symmetry is P4mm.

Lattice parameters (Å, degrees): 3.682 3.682 7.884 90.00 90.00 90.00
Atoms (fractional coordinates):
Tb  0.000  0.000  0.382
Au  0.500  0.500  0.586
Tl  0.500  0.500  0.117
Nd  0.000  0.000  0.842

***

(2)
Compound: TbNdTlAu
Source: Alexandria via LeMat-Bulk
Functional: PBE
Structure: optimized geometry

Values from the calculation:
Its offset from the most stable computed form is 5.7 kJ/mol of atoms. The calculation puts the theoretical density at 10.88 g/cm3. The symmetry is F-43m.

Lattice parameters (Å, degrees): 5.337 5.337 5.337 60.00 60.00 60.00
Last column: magnetic moment on the atom in μB.
Atoms (fractional coordinates):
Tl  0.500  0.500  0.500  0.00
Nd  0.250  0.250  0.250  0.07
Tb  0.750  0.750  0.750  0.09
Au  0.000  0.000  0.000  0.01

***

(3)
Compound: Nd4TcAu
Source: Alexandria via LeMat-Bulk
Functional: PBE
Structure: optimized geometry

Values from the calculation:
The calculation puts the total energy at -68.62 eV per cell. The calculation puts the theoretical density at 8.48 g/cm3. The symmetry is C2/c.

Lattice parameters (Å, degrees): 6.359 7.935 7.935 110.85 103.40 103.40
Atoms (fractional coordinates):
Au  0.250  0.374  0.626
Tc  0.750  0.998  0.002
Tc  0.250  0.002  0.998
Nd  0.435  0.715  0.066
Nd  0.065  0.934  0.285
Nd  0.151  0.364  0.216
Nd  0.349  0.784  0.636
Nd  0.935  0.066  0.715
Nd  0.565  0.285  0.934
Au  0.750  0.626  0.374
Nd  0.651  0.216  0.364
Nd  0.849  0.636  0.784

***

(4)
Compound: Nd2TcAu
Source: Alexandria via LeMat-Bulk
Functional: PBE
Structure: optimized geometry

Values from the calculation:
The calculation puts the total energy at -24.31 eV per cell. The calculation puts the theoretical density at 10.15 g/cm3. The symmetry is P4/mmm.

Lattice parameters (Å, degrees): 3.575 3.575 7.471 90.00 90.00 90.00
Atoms (fractional coordinates):
Nd  0.000  0.000  0.770
Nd  0.000  0.000  0.230
Au  0.500  0.500  0.500
Tc  0.500  0.500  0.000

***

Which value of theoretical density does entry 3 give?
8.48 g/cm3

***

Which value of theoretical density does entry 3 give?
8.48 g/cm3